[1]
Density functional theory data (GGA-PBE) for a relaxed structure of TbCdPdRu.

For the density of states at the Fermi level, the calculation gives 2.82 states/eV/f.u. The value obtained for the final energy is -5.314 eV per atom. The calculated formation energy comes out at -0.31 eV per atom.

a = 6.698 Å, b = 6.698 Å, c = 6.698 Å
α = 90.00°, β = 90.00°, γ = 90.00°
Space group F-43m (No. 216)
Unique sites:
Tb 0.000 0.000 0.000 x4
Cd 0.000 0.000 0.500 x4
Pd 0.250 0.250 0.750 x4
Ru 0.250 0.250 0.250 x4

[2]
Density functional theory data (GGA-PBE) for a relaxed structure of Tb4CdPdRu2.

For the density of states at the Fermi level, the calculation gives 3.73 states/eV/f.u. The value obtained for the final energy is -5.856 eV per atom. The calculated formation energy comes out at -0.46 eV per atom.

a = 4.9697 Å, b = 4.9697 Å, c = 24.4144 Å
α = 90.00°, β = 90.00°, γ = 120.00°
Space group R-3m (No. 166, hexagonal axes)
Unique sites:
Tb 0.0000 0.0000 0.1209 x6
Tb 0.0000 0.0000 0.3718 x6
Cd 0.0000 0.0000 0.5000 x3
Pd 0.0000 0.0000 0.0000 x3
Ru 0.0000 0.0000 0.2490 x6

[3]
Density functional theory data (GGA-PBE) for a relaxed structure of Tl2CdPdRu.

For the density of states at the Fermi level, the calculation gives 5.77 states/eV/f.u. The value obtained for the final energy is -2.685 eV per atom. The calculated formation energy comes out at 1.34 eV per atom.

a = 5.429 Å, b = 5.429 Å, c = 5.095 Å
α = 90.00°, β = 90.00°, γ = 90.00°
Space group P4/mmm (No. 123)
Unique sites:
Tl 0.000 0.500 0.000 x2
Cd 0.000 0.000 0.000 x1
Pd 0.500 0.500 0.500 x1
Ru 0.000 0.000 0.500 x1

[4]
Density functional theory data (GGA-PBE) for a relaxed structure of Tm4CdPdRu2.

For the density of states at the Fermi level, the calculation gives 3.68 states/eV/f.u. The value obtained for the final energy is -5.858 eV per atom. The calculated formation energy comes out at -0.54 eV per atom.

a = 4.8823 Å, b = 4.8823 Å, c = 23.9602 Å
α = 90.00°, β = 90.00°, γ = 120.00°
Space group R-3m (No. 166, hexagonal axes)
Unique sites:
Tm 0.0000 0.0000 0.1210 x6
Tm 0.0000 0.0000 0.3718 x6
Cd 0.0000 0.0000 0.5000 x3
Pd 0.0000 0.0000 0.0000 x3
Ru 0.0000 0.0000 0.2490 x6